A relaxed structure of Li2PrTmTe4. Source: Alexandria via LeMat-Bulk, functional PBE.

Lattice parameters (Å, degrees): 4.3979 7.6219 7.5132 109.70 90.00 90.00
Closest atoms and distances in Å follow each position.
Sites, in units of the cell vectors:
Pr: 0.0000 0.0000 0.0000  6 Te 3.17-3.18
Li: 0.5000 0.0000 0.5000  6 Te 3.11-3.12
Li: 0.0000 0.5000 0.5000  6 Te 3.01-3.02
Te: 0.0000 0.2591 0.7451  3 Li 3.01-3.11, 2 Tm 3.08, 1 Pr 3.18
Te: 0.0000 0.7409 0.2549  3 Li 3.01-3.11, 2 Tm 3.08, 1 Pr 3.18
Te: 0.5000 0.2645 0.2609  3 Li 3.02-3.12, 1 Tm 3.07, 2 Pr 3.17
Te: 0.5000 0.7355 0.7391  3 Li 3.02-3.12, 1 Tm 3.07, 2 Pr 3.17
Tm: 0.5000 0.5000 0.0000  6 Te 3.07-3.08

The calculation puts the volume at 29.6 Å³/atom. The total energy is -0.3295 Ry/atom. The value obtained for the magnetic moment is 0.00 μB/f.u. The formation energy without anion corrections is -1277 meV per atom.

***

A relaxed structure of LiPrTm2Te4. Source: Alexandria via LeMat-Bulk, functional PBE.

Lattice parameters (Å, degrees): 4.3320 7.5902 7.5961 109.01 90.00 90.00
Closest atoms and distances in Å follow each position.
Sites, in units of the cell vectors:
Tm: 0.0000 0.5000 0.5000  6 Te 3.02
Tm: 0.5000 0.0000 0.5000  6 Te 3.10-3.12
Te: 0.5000 0.2640 0.2597  3 Tm 3.02-3.12, 1 Li 3.07, 2 Pr 3.17
Te: 0.5000 0.7360 0.7403  3 Tm 3.02-3.12, 1 Li 3.07, 2 Pr 3.17
Te: 0.0000 0.2574 0.7456  3 Tm 3.02-3.10, 2 Li 3.08, 1 Pr 3.16
Te: 0.0000 0.7426 0.2544  3 Tm 3.02-3.10, 2 Li 3.08, 1 Pr 3.16
Pr: 0.0000 0.0000 0.0000  6 Te 3.16-3.17
Li: 0.5000 0.5000 0.0000  6 Te 3.07-3.08

The calculation puts the volume at 29.5 Å³/atom. The total energy is -0.3540 Ry/atom. The value obtained for the magnetic moment is 0.00 μB/f.u. The formation energy without anion corrections is -1291 meV per atom. The calculation puts the density of states at the Fermi level at 0.3590 states/eV/atom.

***

A relaxed structure of Li4PrTm3Te8. Source: Alexandria via LeMat-Bulk, functional PBE.

Lattice parameters (Å, degrees): 8.7020 8.6687 8.7011 120.15 120.00 90.00
Closest atoms and distances in Å follow each position.
Sites, in units of the cell vectors:
Li: 0.0000 0.0000 0.0000  6 Te 3.07-3.08
Li: 0.5000 0.0000 0.0000  6 Te 2.98
Li: 0.5000 0.0000 0.5000  6 Te 3.07-3.08
Li: 0.0000 0.0000 0.5000  6 Te 3.07-3.08
Te: 0.7503 0.7506 0.5006  3 Li 3.07, 3 Tm 3.07
Te: 0.7416 0.7566 0.9992  3 Li 2.98-3.08, 2 Tm 3.07, 1 Pr 3.16
Te: 0.2584 0.2434 0.0008  3 Li 2.98-3.08, 2 Tm 3.07, 1 Pr 3.16
Te: 0.7423 0.2434 0.0008  3 Li 2.98-3.08, 2 Tm 3.07, 1 Pr 3.16
Te: 0.2576 0.7566 0.5152  3 Li 2.98-3.08, 2 Tm 3.07, 1 Pr 3.16
Te: 0.2497 0.2494 0.4994  3 Li 3.07, 3 Tm 3.07
Te: 0.2577 0.7566 0.9992  3 Li 2.98-3.08, 2 Tm 3.07, 1 Pr 3.16
Te: 0.7424 0.2434 0.4848  3 Li 2.98-3.08, 2 Tm 3.07, 1 Pr 3.16
Tm: 0.0000 0.5000 0.5000  6 Te 3.07
Tm: 0.5000 0.5000 0.0000  6 Te 3.07
Tm: 0.5000 0.5000 0.5000  6 Te 3.07
Pr: 0.0000 0.5000 0.0000  6 Te 3.16

The calculation puts the volume at 28.9 Å³/atom. The total energy is -0.3277 Ry/atom. The value obtained for the magnetic moment is 0.00 μB/f.u. The formation energy without anion corrections is -1272 meV per atom.

***

A relaxed structure of Li2PrUTe4. Source: Alexandria via LeMat-Bulk, functional PBE.

Lattice parameters (Å, degrees): 4.4070 7.6437 7.5601 109.71 90.00 90.00
Closest atoms and distances in Å follow each position.
Sites, in units of the cell vectors:
Pr: 0.5000 0.5000 0.0000  6 Te 3.19
Te: 0.0000 0.7615 0.2643  3 Li 3.03-3.09, 1 U 3.13, 2 Pr 3.19
Te: 0.5000 0.7527 0.7395  3 Li 3.03-3.08, 2 U 3.13, 1 Pr 3.19
Te: 0.5000 0.2473 0.2605  3 Li 3.03-3.08, 2 U 3.13, 1 Pr 3.19
Te: 0.0000 0.2384 0.7357  3 Li 3.03-3.09, 1 U 3.13, 2 Pr 3.19
Li: 0.0000 0.5000 0.5000  6 Te 3.08-3.09
Li: 0.5000 0.0000 0.5000  6 Te 3.03
U: 0.0000 0.0000 0.0000  6 Te 3.13

The calculation puts the volume at 30.0 Å³/atom. The total energy is -0.3727 Ry/atom. The value obtained for the magnetic moment is 2.99 μB/f.u. The formation energy without anion corrections is -1014 meV per atom. The calculation puts the density of states at the Fermi level at 1.1181 states/eV/atom.

***

A relaxed structure of Li3PrU2Te6. Source: Alexandria via LeMat-Bulk, functional PBE.

Lattice parameters (Å, degrees): 7.5735 7.5735 7.5692 99.61 99.61 120.01
Closest atoms and distances in Å follow each position.
Sites, in units of the cell vectors:
U: 0.3333 0.6667 0.0000  6 Te 3.11-3.12
U: 0.6667 0.3333 0.0000  6 Te 3.11-3.12
Pr: 0.0000 0.0000 0.0000  6 Te 3.19
Li: 0.8363 0.1637 0.5000  6 Te 3.02-3.07
Li: 0.1637 0.8363 0.5000  6 Te 3.02-3.07
Li: 0.5000 0.5000 0.5000  6 Te 2.99-3.07
Te: 0.7463 0.7463 0.2629  3 Li 2.99-3.04, 2 U 3.12, 1 Pr 3.19
Te: 0.9126 0.5712 0.7384  3 Li 3.02-3.07, 2 U 3.11-3.12, 1 Pr 3.19
Te: 0.4288 0.0874 0.2616  3 Li 3.02-3.07, 2 U 3.11-3.12, 1 Pr 3.19
Te: 0.0874 0.4288 0.2616  3 Li 3.02-3.07, 2 U 3.11-3.12, 1 Pr 3.19
Te: 0.2537 0.2537 0.7371  3 Li 2.99-3.04, 2 U 3.12, 1 Pr 3.19
Te: 0.5712 0.9126 0.7384  3 Li 3.02-3.07, 2 U 3.11-3.12, 1 Pr 3.19

The calculation puts the volume at 29.5 Å³/atom. The total energy is -0.3864 Ry/atom. The value obtained for the magnetic moment is 6.00 μB/f.u. The formation energy without anion corrections is -928 meV per atom. The calculation puts the density of states at the Fermi level at 1.0851 states/eV/atom.

***

A relaxed structure of Li3Pr2UTe6. Source: Alexandria via LeMat-Bulk, functional PBE.

Lattice parameters (Å, degrees): 7.6921 7.6921 7.5623 99.76 99.76 119.99
Closest atoms and distances in Å follow each position.
Sites, in units of the cell vectors:
Li: 0.8325 0.1675 0.5000  6 Te 3.04-3.10
Li: 0.1675 0.8325 0.5000  6 Te 3.04-3.10
Li: 0.5000 0.5000 0.5000  6 Te 3.05-3.11
Pr: 0.6666 0.3334 0.0000  6 Te 3.19-3.20
Pr: 0.3334 0.6666 0.0000  6 Te 3.19-3.20
Te: 0.0878 0.4147 0.2640  3 Li 3.04-3.10, 1 U 3.14, 2 Pr 3.20
Te: 0.5853 0.9122 0.7360  3 Li 3.04-3.10, 1 U 3.14, 2 Pr 3.20
Te: 0.9122 0.5853 0.7360  3 Li 3.04-3.10, 1 U 3.14, 2 Pr 3.20
Te: 0.2390 0.2390 0.7374  3 Li 3.06-3.11, 1 U 3.13, 2 Pr 3.19
Te: 0.7610 0.7610 0.2626  3 Li 3.06-3.11, 1 U 3.13, 2 Pr 3.19
Te: 0.4147 0.0878 0.2640  3 Li 3.04-3.10, 1 U 3.14, 2 Pr 3.20
U: 0.0000 0.0000 0.0000  6 Te 3.13-3.14

The calculation puts the volume at 30.4 Å³/atom. The total energy is -0.3596 Ry/atom. The value obtained for the magnetic moment is 2.93 μB/f.u. The formation energy without anion corrections is -1106 meV per atom. The calculation puts the density of states at the Fermi level at 0.6332 states/eV/atom.

***

A relaxed structure of LiPrYTe3. Source: Alexandria via LeMat-Bulk, functional PBE.

Lattice parameters (Å, degrees): 4.3033 9.0337 9.5633 103.69 90.00 90.00
Closest atoms and distances in Å follow each position.
Sites, in units of the cell vectors:
Te: 0.2500 0.7684 0.4971  3 Li 2.74-2.78
Te: 0.2500 0.5667 0.8243  3 Y 3.06-3.11, 2 Pr 3.22
Te: 0.2500 0.0929 0.8752  1 Li 2.75
Te: 0.7500 0.9071 0.1248  1 Li 2.75
Te: 0.7500 0.2316 0.5029  3 Li 2.74-2.78
Te: 0.7500 0.4333 0.1757  3 Y 3.06-3.11, 2 Pr 3.22
Li: 0.2500 0.0847 0.5861  4 Te 2.74-2.78, 2 Li 2.91
Li: 0.7500 0.9153 0.4139  4 Te 2.74-2.78, 2 Li 2.91
Pr: 0.7500 0.8102 0.7663  7 Te 3.22-3.33
Pr: 0.2500 0.1898 0.2337  7 Te 3.22-3.33
Y: 0.7500 0.3314 0.8411  6 Te 3.06-3.14
Y: 0.2500 0.6686 0.1589  6 Te 3.06-3.14

The calculation puts the volume at 30.1 Å³/atom. The total energy is -0.3722 Ry/atom. The value obtained for the magnetic moment is 0.00 μB/f.u. The formation energy without anion corrections is -1301 meV per atom. The calculation puts the density of states at the Fermi level at 0.4814 states/eV/atom.

***

A relaxed structure of Li4PrY3Te8. Source: Alexandria via LeMat-Bulk, functional PBE.

Lattice parameters (Å, degrees): 8.7670 8.7054 8.7661 120.26 120.00 90.00
Closest atoms and distances in Å follow each position.
Sites, in units of the cell vectors:
Li: 0.5000 0.0000 0.0000  6 Te 3.00
Li: 0.0000 0.0000 0.0000  6 Te 3.07-3.08
Li: 0.5000 0.0000 0.5000  6 Te 3.07-3.08
Li: 0.0000 0.0000 0.5000  6 Te 3.07-3.08
Te: 0.7516 0.7543 0.5031  3 Li 3.07, 3 Y 3.11
Te: 0.2570 0.7586 0.5140  3 Li 3.00-3.08, 2 Y 3.10, 1 Pr 3.17
Te: 0.2484 0.2457 0.4969  3 Li 3.07, 3 Y 3.11
Te: 0.2550 0.2413 0.9980  3 Li 3.00-3.08, 2 Y 3.10, 1 Pr 3.17
Te: 0.7430 0.2414 0.4860  3 Li 3.00-3.08, 2 Y 3.10, 1 Pr 3.17
Te: 0.2570 0.7587 0.0020  3 Li 3.00-3.08, 2 Y 3.10, 1 Pr 3.17
Te: 0.7430 0.2413 0.9980  3 Li 3.00-3.08, 2 Y 3.10, 1 Pr 3.17
Te: 0.7450 0.7587 0.0020  3 Li 3.00-3.08, 2 Y 3.10, 1 Pr 3.17
Y: 0.5000 0.5000 0.0000  6 Te 3.10-3.11
Y: 0.0000 0.5000 0.5000  6 Te 3.10-3.11
Y: 0.5000 0.5000 0.5000  6 Te 3.10-3.11
Pr: 0.0000 0.5000 0.0000  6 Te 3.17

The calculation puts the volume at 29.4 Å³/atom. The total energy is -0.3573 Ry/atom. The value obtained for the magnetic moment is 0.00 μB/f.u. The formation energy without anion corrections is -1301 meV per atom.

***

A relaxed structure of LiPr4Y3Te8. Source: Alexandria via LeMat-Bulk, functional PBE.

Lattice parameters (Å, degrees): 8.8269 8.9264 8.8273 119.63 120.00 90.00
Closest atoms and distances in Å follow each position.
Sites, in units of the cell vectors:
Y: 0.5000 0.5000 0.5000  6 Te 3.08
Y: 0.5000 0.5000 0.0000  6 Te 3.08
Y: 0.0000 0.5000 0.5000  6 Te 3.08
Te: 0.2404 0.7315 0.9911  1 Li 3.02, 2 Y 3.08, 3 Pr 3.20-3.26
Te: 0.7455 0.7365 0.4910  3 Y 3.08, 3 Pr 3.20
Te: 0.2545 0.2635 0.5090  3 Y 3.08, 3 Pr 3.20
Te: 0.7508 0.7315 0.9911  1 Li 3.02, 2 Y 3.08, 3 Pr 3.20-3.26
Te: 0.7595 0.2684 0.5190  1 Li 3.02, 2 Y 3.08, 3 Pr 3.20-3.26
Te: 0.2405 0.7316 0.4810  1 Li 3.02, 2 Y 3.08, 3 Pr 3.20-3.26
Te: 0.7596 0.2685 0.0089  1 Li 3.02, 2 Y 3.08, 3 Pr 3.20-3.26
Te: 0.2492 0.2685 0.0089  1 Li 3.02, 2 Y 3.08, 3 Pr 3.20-3.26
Li: 0.0000 0.5000 0.0000  6 Te 3.02
Pr: 0.0000 0.0000 0.0000  6 Te 3.20
Pr: 0.0000 0.0000 0.5000  6 Te 3.20
Pr: 0.5000 0.0000 0.5000  6 Te 3.20
Pr: 0.5000 0.0000 0.0000  6 Te 3.26

The calculation puts the volume at 30.9 Å³/atom. The total energy is -0.4024 Ry/atom. The value obtained for the magnetic moment is 0.00 μB/f.u. The formation energy without anion corrections is -1378 meV per atom. The calculation puts the density of states at the Fermi level at 0.5229 states/eV/atom.

***

A relaxed structure of LiPrY2Te4. Source: Alexandria via LeMat-Bulk, functional PBE.

Lattice parameters (Å, degrees): 4.3740 7.6389 7.6431 109.13 90.00 90.00
Closest atoms and distances in Å follow each position.
Sites, in units of the cell vectors:
Y: 0.5000 0.0000 0.5000  6 Te 3.14-3.16
Y: 0.0000 0.5000 0.5000  6 Te 3.06
Te: 0.5000 0.2624 0.2548  3 Y 3.06-3.16, 1 Li 3.07, 2 Pr 3.17
Te: 0.5000 0.7376 0.7452  3 Y 3.06-3.16, 1 Li 3.07, 2 Pr 3.17
Te: 0.0000 0.7410 0.2495  3 Y 3.06-3.14, 2 Li 3.08, 1 Pr 3.17
Te: 0.0000 0.2590 0.7505  3 Y 3.06-3.14, 2 Li 3.08, 1 Pr 3.17
Li: 0.5000 0.5000 0.0000  6 Te 3.07-3.08
Pr: 0.0000 0.0000 0.0000  6 Te 3.17

The calculation puts the volume at 30.2 Å³/atom. The total energy is -0.3948 Ry/atom. The value obtained for the magnetic moment is 0.00 μB/f.u. The formation energy without anion corrections is -1348 meV per atom. The calculation puts the density of states at the Fermi level at 0.3932 states/eV/atom.

***

A relaxed structure of Li2PrYTe4. Source: Alexandria via LeMat-Bulk, functional PBE.

Lattice parameters (Å, degrees): 4.4208 7.6539 7.5262 109.73 90.00 90.00
Closest atoms and distances in Å follow each position.
Sites, in units of the cell vectors:
Te: 0.5000 0.2617 0.2619  3 Li 3.04-3.11, 1 Y 3.10, 2 Pr 3.18
Te: 0.0000 0.2558 0.7426  3 Li 3.02-3.10, 2 Y 3.11, 1 Pr 3.19
Te: 0.0000 0.7442 0.2574  3 Li 3.02-3.10, 2 Y 3.11, 1 Pr 3.19
Te: 0.5000 0.7383 0.7381  3 Li 3.04-3.11, 1 Y 3.10, 2 Pr 3.18
Pr: 0.0000 0.0000 0.0000  6 Te 3.18-3.19
Y: 0.5000 0.5000 0.0000  6 Te 3.10-3.11
Li: 0.0000 0.5000 0.5000  6 Te 3.02-3.04
Li: 0.5000 0.0000 0.5000  6 Te 3.10-3.11

The calculation puts the volume at 30.0 Å³/atom. The total energy is -0.3493 Ry/atom. The value obtained for the magnetic moment is 0.00 μB/f.u. The formation energy without anion corrections is -1298 meV per atom.

***

A relaxed structure of LiPr3Y2Te6. Source: Alexandria via LeMat-Bulk, functional PBE.

Lattice parameters (Å, degrees): 4.4266 8.8932 9.9334 103.44 102.87 90.00
Closest atoms and distances in Å follow each position.
Sites, in units of the cell vectors:
Te: 0.9972 0.7650 0.9944  2 Li 3.04, 1 Y 3.07, 3 Pr 3.20-3.24
Te: 0.6694 0.5767 0.3387  3 Y 3.07-3.10, 3 Pr 3.17-3.19
Te: 0.3397 0.9116 0.6795  1 Li 3.01, 2 Y 3.10, 3 Pr 3.21-3.25
Te: 0.3306 0.4233 0.6613  3 Y 3.07-3.10, 3 Pr 3.17-3.19
Te: 0.0028 0.2350 0.0056  2 Li 3.04, 1 Y 3.07, 3 Pr 3.20-3.24
Te: 0.6603 0.0884 0.3205  1 Li 3.01, 2 Y 3.10, 3 Pr 3.21-3.25
Pr: 0.1668 0.8306 0.3336  6 Te 3.17-3.25
Pr: 0.5000 0.5000 0.0000  6 Te 3.19-3.24
Pr: 0.8332 0.1694 0.6664  6 Te 3.17-3.25
Y: 0.1661 0.3360 0.3321  6 Te 3.07-3.10
Y: 0.8339 0.6640 0.6679  6 Te 3.07-3.10
Li: 0.5000 0.0000 0.0000  6 Te 3.01-3.04

The calculation puts the volume at 30.9 Å³/atom. The total energy is -0.3953 Ry/atom. The value obtained for the magnetic moment is 0.00 μB/f.u. The formation energy without anion corrections is -1376 meV per atom. The calculation puts the density of states at the Fermi level at 0.3849 states/eV/atom.